Version P
Here is a relaxed structure of TbNd6Cd2 from the Alexandria database. Energies are from GGA-PBE.

a = 3.8364 Å, b = 6.7682 Å, c = 12.0238 Å
α = 75.69°, β = 80.82°, γ = 73.54°
With the nearest neighbours (Å) after each atom.
Atoms (fractional coordinates):
Tb: 0.0000 0.0000 0.0000  4 Cd 3.18
Nd: 0.6845 0.5079 0.1231  2 Cd 3.31, 5 Nd 3.52-3.62
Nd: 0.3155 0.4921 0.8769  2 Cd 3.31, 5 Nd 3.52-3.62
Nd: 0.3106 0.7900 0.5888  2 Cd 3.40, 8 Nd 3.55-3.69
Nd: 0.9798 0.7033 0.3370  2 Cd 3.28, 5 Nd 3.58-3.67
Nd: 0.0202 0.2967 0.6630  2 Cd 3.28, 5 Nd 3.58-3.67
Nd: 0.6894 0.2100 0.4112  2 Cd 3.40, 8 Nd 3.55-3.69
Cd: 0.3576 0.0855 0.1993  2 Tb 3.18, 6 Nd 3.28-3.40
Cd: 0.6424 0.9145 0.8007  2 Tb 3.18, 6 Nd 3.28-3.40

---

Version Q
Here is a relaxed structure of TbNd6Cd2 from the Alexandria database. Energies are from GGA-PBE.

a = 6.2467 Å, b = 9.8164 Å, c = 9.8164 Å
α = 73.33°, β = 85.29°, γ = 85.29°
With the nearest neighbours (Å) after each atom.
Atoms (fractional coordinates):
Tb: 0.2500 0.1025 0.8975  10 Nd 3.49-3.84
Tb: 0.7500 0.8975 0.1025  10 Nd 3.49-3.84
Nd: 0.4907 0.6834 0.4301  3 Cd 3.25-3.47, 4 Nd 3.32-3.54, 1 Tb 3.63
Nd: 0.0093 0.5699 0.3166  3 Cd 3.25-3.47, 4 Nd 3.32-3.54, 1 Tb 3.63
Nd: 0.5093 0.3166 0.5699  3 Cd 3.25-3.47, 4 Nd 3.32-3.54, 1 Tb 3.63
Nd: 0.9907 0.4301 0.6834  3 Cd 3.25-3.47, 4 Nd 3.32-3.54, 1 Tb 3.63
Nd: 0.6638 0.0966 0.3517  3 Cd 3.35-3.43, 5 Nd 3.49-3.66, 1 Tb 3.53
Nd: 0.8362 0.6483 0.9034  3 Cd 3.35-3.43, 5 Nd 3.49-3.66, 1 Tb 3.53
Nd: 0.3362 0.9034 0.6483  3 Cd 3.35-3.43, 5 Nd 3.49-3.66, 1 Tb 3.53
Nd: 0.1638 0.3517 0.0966  3 Cd 3.35-3.43, 5 Nd 3.49-3.66, 1 Tb 3.53
Nd: 0.3131 0.7324 0.0325  2 Cd 3.22-3.44, 3 Nd 3.32-3.58, 2 Tb 3.49-3.50
Nd: 0.1869 0.9675 0.2676  2 Cd 3.22-3.44, 3 Nd 3.32-3.58, 2 Tb 3.49-3.50
Nd: 0.6869 0.2676 0.9675  2 Cd 3.22-3.44, 3 Nd 3.32-3.58, 2 Tb 3.49-3.50
Nd: 0.8131 0.0325 0.7324  2 Cd 3.22-3.44, 3 Nd 3.32-3.58, 2 Tb 3.49-3.50
Cd: 0.4079 0.5412 0.7869  8 Nd 3.22-3.47
Cd: 0.0921 0.2131 0.4588  8 Nd 3.22-3.47
Cd: 0.5921 0.4588 0.2131  8 Nd 3.22-3.47
Cd: 0.9079 0.7869 0.5412  8 Nd 3.22-3.47

---

Most stable structure, least stable structure: version P, version Q.

---

Version P
Here is a relaxed structure of Tb3Nd2Cd from the Alexandria database. Energies are from GGA-PBE.

a = 6.3912 Å, b = 5.8199 Å, c = 6.7217 Å
α = 115.65°, β = 118.39°, γ = 90.00°
With the nearest neighbours (Å) after each atom.
Atoms (fractional coordinates):
Tb: 0.0000 0.1224 0.0000  2 Cd 3.20, 4 Nd 3.44-3.45, 2 Tb 3.53
Tb: 0.3424 0.4670 0.6849  4 Nd 3.20-3.37, 2 Tb 3.24-3.53, 2 Cd 3.33
Tb: 0.6576 0.7822 0.3151  4 Nd 3.20-3.37, 2 Tb 3.24-3.53, 2 Cd 3.33
Nd: 0.8216 0.4447 0.6431  6 Tb 3.20-3.45, 1 Cd 3.31
Nd: 0.1784 0.8016 0.3569  6 Tb 3.20-3.45, 1 Cd 3.31
Cd: 0.5000 0.1251 0.0000  6 Tb 3.20-3.33, 2 Nd 3.31

---

Version Q
Here is a relaxed structure of Tb3Nd2Cd from the Alexandria database. Energies are from GGA-PBE.

a = 3.6284 Å, b = 3.6284 Å, c = 14.2373 Å
α = 90.00°, β = 90.00°, γ = 90.00°
With the nearest neighbours (Å) after each atom.
Atoms (fractional coordinates):
Tb: 0.0000 0.0000 0.0000  8 Nd 3.62, 4 Tb 3.63
Tb: 0.0000 0.0000 0.6428  4 Cd 3.27, 4 Nd 3.60, 4 Tb 3.63
Tb: 0.0000 0.0000 0.3572  4 Cd 3.27, 4 Nd 3.60, 4 Tb 3.63
Nd: 0.5000 0.5000 0.8202  8 Tb 3.60-3.62, 4 Nd 3.63
Nd: 0.5000 0.5000 0.1798  8 Tb 3.60-3.62, 4 Nd 3.63
Cd: 0.5000 0.5000 0.5000  8 Tb 3.27, 4 Cd 3.63

---

Most stable structure, least stable structure: version Q, version P.

---

Version P
Here is a relaxed structure of TbNdCd from the Alexandria database. Energies are from GGA-PBE.

a = 3.6922 Å, b = 3.6922 Å, c = 7.0379 Å
α = 105.21°, β = 105.21°, γ = 90.00°
With the nearest neighbours (Å) after each atom.
Atoms (fractional coordinates):
Nd: 0.0085 0.0085 0.0170  4 Cd 3.37, 4 Tb 3.59, 4 Nd 3.69
Tb: 0.3199 0.3199 0.6397  4 Cd 3.25, 4 Nd 3.59
Cd: 0.6717 0.6717 0.3433  4 Tb 3.25, 4 Nd 3.37

---

Version Q
Here is a relaxed structure of TbNdCd from the Alexandria database. Energies are from GGA-PBE.

a = 5.2344 Å, b = 5.2309 Å, c = 5.2309 Å
α = 60.07°, β = 59.98°, γ = 59.98°
With the nearest neighbours (Å) after each atom.
Atoms (fractional coordinates):
Tb: 0.2499 0.2501 0.2501  4 Cd 3.20
Nd: 0.7500 0.7500 0.7500  4 Cd 3.20
Cd: 0.0001 0.9999 0.9999  4 Nd 3.20, 4 Tb 3.20

---

Most stable structure, least stable structure: version P, version Q.

---

Version P
Here is a relaxed structure of TbNdCd from the Alexandria database. Energies are from GGA-PBE.

a = 5.8700 Å, b = 5.8700 Å, c = 6.7734 Å
α = 102.26°, β = 102.26°, γ = 120.65°
With the nearest neighbours (Å) after each atom.
Atoms (fractional coordinates):
Nd: 0.6663 0.3337 0.0000  3 Nd 3.37-3.39, 4 Cd 3.49, 4 Tb 3.76
Nd: 0.3337 0.6663 0.0000  3 Nd 3.37-3.39, 4 Cd 3.49, 4 Tb 3.76
Tb: 0.8635 0.8635 0.7271  4 Cd 3.25, 1 Tb 3.34
Tb: 0.1365 0.1365 0.2729  4 Cd 3.25, 1 Tb 3.34
Cd: 0.7500 0.2500 0.5000  2 Cd 2.91, 4 Tb 3.25
Cd: 0.2500 0.7500 0.5000  2 Cd 2.91, 4 Tb 3.25

---

Version Q
Here is a relaxed structure of TbNdCd from the Alexandria database. Energies are from GGA-PBE.

a = 3.7394 Å, b = 5.5536 Å, c = 8.8096 Å
α = 90.00°, β = 102.25°, γ = 90.00°
With the nearest neighbours (Å) after each atom.
Atoms (fractional coordinates):
Tb: 0.7731 0.2500 0.5462  2 Cd 3.24, 4 Tb 3.44
Tb: 0.2269 0.7500 0.4538  2 Cd 3.24, 4 Tb 3.44
Nd: 0.9131 0.7500 0.8261  6 Cd 3.33-3.36, 4 Tb 3.68-3.71
Nd: 0.0869 0.2500 0.1739  6 Cd 3.33-3.36, 4 Tb 3.68-3.71
Cd: 0.4271 0.2500 0.8541  2 Tb 3.24, 6 Nd 3.33-3.36
Cd: 0.5729 0.7500 0.1459  2 Tb 3.24, 6 Nd 3.33-3.36

---

Version R
Here is a relaxed structure of TbNdCd from the Alexandria database. Energies are from GGA-PBE.

a = 3.6317 Å, b = 5.3164 Å, c = 5.3164 Å
α = 120.00°, β = 90.00°, γ = 90.00°
With the nearest neighbours (Å) after each atom.
Atoms (fractional coordinates):
Nd: 0.3699 0.3333 0.6667  3 Cd 3.29, 3 Tb 3.45, 2 Nd 3.63
Tb: 0.9363 0.0000 0.0000  3 Cd 3.19, 3 Nd 3.45
Cd: 0.6937 0.6667 0.3333  3 Tb 3.19, 3 Nd 3.29

---

Most stable structure, least stable structure: version Q, version R.

---

Version P
Here is a relaxed structure of Tb7Nd12Cd from the Alexandria database. Energies are from GGA-PBE.

a = 8.8806 Å, b = 8.8806 Å, c = 8.8806 Å
α = 99.21°, β = 99.21°, γ = 99.21°
With the nearest neighbours (Å) after each atom.
Atoms (fractional coordinates):
Tb: 0.0889 0.6717 0.0889  3 Tb 3.22-3.50, 1 Cd 3.32, 2 Nd 3.59-3.60
Tb: 0.3283 0.9111 0.9111  3 Tb 3.22-3.50, 1 Cd 3.32, 2 Nd 3.59-3.60
Tb: 0.9111 0.9111 0.3283  3 Tb 3.22-3.50, 1 Cd 3.32, 2 Nd 3.59-3.60
Tb: 0.5000 0.5000 0.5000  12 Nd 3.53-3.65
Tb: 0.0889 0.0889 0.6717  3 Tb 3.22-3.50, 1 Cd 3.32, 2 Nd 3.59-3.60
Tb: 0.6717 0.0889 0.0889  3 Tb 3.22-3.50, 1 Cd 3.32, 2 Nd 3.59-3.60
Tb: 0.9111 0.3283 0.9111  3 Tb 3.22-3.50, 1 Cd 3.32, 2 Nd 3.59-3.60
Nd: 0.7609 0.2390 0.5002  6 Nd 3.43-3.63, 5 Tb 3.53-3.61
Nd: 0.7610 0.4998 0.2391  6 Nd 3.43-3.63, 5 Tb 3.53-3.61
Nd: 0.3515 0.0857 0.3507  6 Nd 3.43-3.63, 1 Tb 3.65
Nd: 0.9143 0.6493 0.6485  6 Nd 3.43-3.63, 1 Tb 3.65
Nd: 0.4998 0.2391 0.7610  6 Nd 3.43-3.63, 5 Tb 3.53-3.61
Nd: 0.6493 0.6485 0.9143  6 Nd 3.43-3.63, 1 Tb 3.65
Nd: 0.3507 0.3515 0.0857  6 Nd 3.43-3.63, 1 Tb 3.65
Nd: 0.5002 0.7609 0.2390  6 Nd 3.43-3.63, 5 Tb 3.53-3.61
Nd: 0.0857 0.3507 0.3515  6 Nd 3.43-3.63, 1 Tb 3.65
Nd: 0.6485 0.9143 0.6493  6 Nd 3.43-3.63, 1 Tb 3.65
Nd: 0.2390 0.5002 0.7609  6 Nd 3.43-3.63, 5 Tb 3.53-3.61
Nd: 0.2391 0.7610 0.4998  6 Nd 3.43-3.63, 5 Tb 3.53-3.61
Cd: 0.0000 0.0000 0.0000  6 Tb 3.32

---

Version Q
Here is a relaxed structure of Tb7Nd12Cd from the Alexandria database. Energies are from GGA-PBE.

a = 10.0259 Å, b = 10.0259 Å, c = 10.0259 Å
α = 109.47°, β = 109.47°, γ = 109.47°
With the nearest neighbours (Å) after each atom.
Atoms (fractional coordinates):
Tb: 0.5000 0.5000 0.0000  12 Nd 4.08-4.21
Tb: 0.0000 0.5000 0.5000  12 Nd 4.08-4.21
Tb: 0.5000 0.0000 0.5000  12 Nd 4.08-4.21
Tb: 0.5000 0.5000 0.5000  6 Nd 2.90
Tb: 0.0000 0.0000 0.5000  6 Nd 2.90
Tb: 0.5000 0.0000 0.0000  6 Nd 2.90
Tb: 0.0000 0.5000 0.0000  6 Nd 2.90
Nd: 0.5140 0.7579 0.7561  2 Tb 2.90
Nd: 0.0018 0.7579 0.2439  2 Tb 2.90
Nd: 0.4860 0.2421 0.2439  2 Tb 2.90
Nd: 0.9982 0.2421 0.7561  2 Tb 2.90
Nd: 0.7561 0.9982 0.2421  2 Tb 2.90
Nd: 0.7561 0.5140 0.7579  2 Tb 2.90
Nd: 0.2439 0.0018 0.7579  2 Tb 2.90
Nd: 0.2439 0.4860 0.2421  2 Tb 2.90
Nd: 0.7579 0.7561 0.5140  2 Tb 2.90
Nd: 0.2421 0.2439 0.4860  2 Tb 2.90
Nd: 0.7579 0.2439 0.0018  2 Tb 2.90
Nd: 0.2421 0.7561 0.9982  2 Tb 2.90
Cd: 0.0000 0.0000 0.0000  12 Nd 3.98

---

Most stable structure, least stable structure: version P, version Q.

---

Version P
Here is a relaxed structure of Tb8Nd2Cd from the Alexandria database. Energies are from GGA-PBE.

a = 5.0154 Å, b = 7.9245 Å, c = 9.3798 Å
α = 104.94°, β = 105.51°, γ = 90.00°
With the nearest neighbours (Å) after each atom.
Atoms (fractional coordinates):
Tb: 0.4117 0.5555 0.8233  1 Cd 3.46, 8 Tb 3.48-3.62, 3 Nd 3.55-3.63
Tb: 0.6801 0.9098 0.3602  8 Tb 3.51-3.62, 1 Cd 3.51, 3 Nd 3.53-3.55
Tb: 0.8661 0.8251 0.7322  2 Cd 3.50, 7 Tb 3.51-3.60, 3 Nd 3.58-3.62
Tb: 0.9554 0.2776 0.9107  9 Tb 3.46-3.56, 1 Nd 3.47, 2 Cd 3.57
Tb: 0.1339 0.1749 0.2678  2 Cd 3.50, 7 Tb 3.51-3.60, 3 Nd 3.58-3.62
Tb: 0.3199 0.0902 0.6398  8 Tb 3.51-3.62, 1 Cd 3.51, 3 Nd 3.53-3.55
Tb: 0.5883 0.4445 0.1767  1 Cd 3.46, 8 Tb 3.48-3.62, 3 Nd 3.55-3.63
Tb: 0.0446 0.7224 0.0893  9 Tb 3.46-3.56, 1 Nd 3.47, 2 Cd 3.57
Nd: 0.7767 0.3631 0.5534  10 Tb 3.47-3.63, 2 Nd 3.61
Nd: 0.2233 0.6369 0.4466  10 Tb 3.47-3.63, 2 Nd 3.61
Cd: 0.5000 0.0000 0.0000  12 Tb 3.46-3.57

---

Version Q
Here is a relaxed structure of Tb8Nd2Cd from the Alexandria database. Energies are from GGA-PBE.

a = 6.1508 Å, b = 6.1410 Å, c = 9.3441 Å
α = 96.38°, β = 90.03°, γ = 99.85°
With the nearest neighbours (Å) after each atom.
Atoms (fractional coordinates):
Tb: 0.4059 0.4546 0.8245  8 Tb 3.43-3.60, 2 Cd 3.52, 2 Nd 3.56-3.63
Tb: 0.6794 0.0876 0.3575  1 Cd 3.47, 7 Tb 3.49-3.62, 4 Nd 3.56-3.59
Tb: 0.8594 0.1892 0.7318  8 Tb 3.47-3.62, 1 Cd 3.51, 3 Nd 3.53-3.61
Tb: 0.9617 0.7320 0.9112  9 Tb 3.47-3.60, 2 Cd 3.49-3.57, 1 Nd 3.58
Tb: 0.1406 0.8108 0.2682  8 Tb 3.47-3.62, 1 Cd 3.51, 3 Nd 3.53-3.61
Tb: 0.3206 0.9124 0.6425  1 Cd 3.47, 7 Tb 3.49-3.62, 4 Nd 3.56-3.59
Tb: 0.5941 0.5454 0.1755  8 Tb 3.43-3.60, 2 Cd 3.52, 2 Nd 3.56-3.63
Tb: 0.0383 0.2680 0.0888  9 Tb 3.47-3.60, 2 Cd 3.49-3.57, 1 Nd 3.58
Nd: 0.7758 0.6353 0.5423  2 Nd 3.50-3.56, 10 Tb 3.53-3.63
Nd: 0.2242 0.3647 0.4577  2 Nd 3.50-3.56, 10 Tb 3.53-3.63
Cd: 0.5000 0.0000 0.0000  12 Tb 3.47-3.57

---

Most stable structure, least stable structure: version P, version Q.

---

Version P
Here is a relaxed structure of Tb4Nd3Cd from the Alexandria database. Energies are from GGA-PBE.

a = 6.2641 Å, b = 7.1341 Å, c = 11.3712 Å
α = 90.00°, β = 90.00°, γ = 90.00°
With the nearest neighbours (Å) after each atom.
Atoms (fractional coordinates):
Tb: 0.9630 0.8905 0.0000  2 Cd 3.39-3.74, 6 Tb 3.40-3.71, 3 Nd 3.42-3.50
Tb: 0.4876 0.1316 0.0000  6 Tb 3.44-3.71, 2 Cd 3.49-3.62, 4 Nd 3.55-3.65
Tb: 0.1432 0.1253 0.2401  1 Cd 3.39, 6 Tb 3.40-3.61, 5 Nd 3.52-3.67
Tb: 0.6432 0.8747 0.2599  1 Cd 3.39, 6 Tb 3.40-3.61, 5 Nd 3.52-3.67
Tb: 0.9876 0.8684 0.5000  6 Tb 3.44-3.71, 2 Cd 3.49-3.62, 4 Nd 3.55-3.65
Tb: 0.4630 0.1095 0.5000  2 Cd 3.39-3.74, 6 Tb 3.40-3.71, 3 Nd 3.42-3.50
Tb: 0.6432 0.8747 0.7401  1 Cd 3.39, 6 Tb 3.40-3.61, 5 Nd 3.52-3.67
Tb: 0.1432 0.1253 0.7599  1 Cd 3.39, 6 Tb 3.40-3.61, 5 Nd 3.52-3.67
Nd: 0.5049 0.6292 0.0000  5 Tb 3.42-3.59, 4 Nd 3.48-3.61, 2 Cd 3.50-3.81
Nd: 0.1488 0.6185 0.2344  2 Cd 3.39-3.65, 4 Nd 3.48-3.61, 6 Tb 3.50-3.67
Nd: 0.6488 0.3815 0.2656  2 Cd 3.39-3.65, 4 Nd 3.48-3.61, 6 Tb 3.50-3.67
Nd: 0.0049 0.3708 0.5000  5 Tb 3.42-3.59, 4 Nd 3.48-3.61, 2 Cd 3.50-3.81
Nd: 0.6488 0.3815 0.7344  2 Cd 3.39-3.65, 4 Nd 3.48-3.61, 6 Tb 3.50-3.67
Nd: 0.1488 0.6185 0.7656  2 Cd 3.39-3.65, 4 Nd 3.48-3.61, 6 Tb 3.50-3.67
Cd: 0.9757 0.3662 0.0000  6 Tb 3.39-3.74, 5 Nd 3.39-3.65
Cd: 0.4757 0.6338 0.5000  6 Tb 3.39-3.74, 5 Nd 3.39-3.65

---

Version Q
Here is a relaxed structure of Tb4Nd3Cd from the Alexandria database. Energies are from GGA-PBE.

a = 3.6297 Å, b = 3.6295 Å, c = 19.3462 Å
α = 90.00°, β = 90.00°, γ = 90.00°
With the nearest neighbours (Å) after each atom.
Atoms (fractional coordinates):
Nd: 0.5000 0.5000 0.2356  8 Tb 3.60-3.62, 4 Nd 3.63
Nd: 0.5000 0.5000 0.5000  8 Tb 3.62, 4 Nd 3.63
Nd: 0.5000 0.5000 0.7644  8 Tb 3.60-3.62, 4 Nd 3.63
Tb: 0.0000 0.0000 0.8951  4 Cd 3.27, 4 Nd 3.60, 4 Tb 3.63
Tb: 0.0000 0.0000 0.1049  4 Cd 3.27, 4 Nd 3.60, 4 Tb 3.63
Tb: 0.0000 0.0000 0.3679  8 Nd 3.62, 4 Tb 3.63
Tb: 0.0000 0.0000 0.6321  8 Nd 3.62, 4 Tb 3.63
Cd: 0.5000 0.5000 0.0000  8 Tb 3.27, 4 Cd 3.63

---

Most stable structure, least stable structure: version Q, version P.

---

Version P
Here is a relaxed structure of Tb5Nd4Cd from the Alexandria database. Energies are from GGA-PBE.

a = 4.1546 Å, b = 4.1546 Å, c = 18.5650 Å
α = 90.00°, β = 90.00°, γ = 90.00°
With the nearest neighbours (Å) after each atom.
Atoms (fractional coordinates):
Tb: 0.5000 0.5000 0.0896  1 Tb 3.33, 4 Cd 3.38, 4 Nd 3.57
Tb: 0.5000 0.5000 0.2943  8 Nd 3.43-3.51, 2 Tb 3.80-3.82
Tb: 0.5000 0.5000 0.5000  8 Nd 3.50, 2 Tb 3.82
Tb: 0.5000 0.5000 0.7057  8 Nd 3.43-3.51, 2 Tb 3.80-3.82
Tb: 0.5000 0.5000 0.9104  1 Tb 3.33, 4 Cd 3.38, 4 Nd 3.57
Nd: 0.0000 0.0000 0.1986  8 Tb 3.43-3.57, 1 Cd 3.69, 1 Nd 3.70
Nd: 0.0000 0.0000 0.3978  8 Tb 3.50-3.51, 2 Nd 3.70-3.79
Nd: 0.0000 0.0000 0.6022  8 Tb 3.50-3.51, 2 Nd 3.70-3.79
Nd: 0.0000 0.0000 0.8014  8 Tb 3.43-3.57, 1 Cd 3.69, 1 Nd 3.70
Cd: 0.0000 0.0000 0.0000  8 Tb 3.38, 2 Nd 3.69

---

Version Q
Here is a relaxed structure of Tb5Nd4Cd from the Alexandria database. Energies are from GGA-PBE.

a = 5.8152 Å, b = 8.1478 Å, c = 8.1478 Å
α = 82.68°, β = 69.09°, γ = 69.09°
With the nearest neighbours (Å) after each atom.
Atoms (fractional coordinates):
Tb: 0.7703 0.3676 0.9999  1 Cd 3.08, 1 Tb 3.30, 2 Nd 3.40
Tb: 0.1380 0.9999 0.6324  1 Cd 3.08, 1 Tb 3.30, 2 Nd 3.40
Tb: 0.7703 0.0001 0.3676  1 Cd 3.08, 1 Tb 3.30, 2 Nd 3.40
Tb: 0.1379 0.6324 0.0001  1 Cd 3.08, 1 Tb 3.30, 2 Nd 3.40
Tb: 0.6543 0.0000 0.0000  2 Cd 2.79-3.02
Nd: 0.4663 0.3166 0.6835  5 Tb 3.40-3.74, 1 Cd 3.81
Nd: 0.7829 0.6835 0.6834  5 Tb 3.40-3.74, 1 Cd 3.81
Nd: 0.1498 0.3165 0.3166  5 Tb 3.40-3.74, 1 Cd 3.81
Nd: 0.4664 0.6834 0.3165  5 Tb 3.40-3.74, 1 Cd 3.81
Cd: 0.1740 0.0000 0.0000  6 Tb 2.79-3.08

---

Most stable structure, least stable structure: version P, version Q.